Record 1
# KNi2RhC PBE relaxed
data_KNi2RhC
_chemical_formula_sum 'K1 Ni2 Rh1 C1'
_symmetry_space_group_name_H-M 'P 4/m m m'
_symmetry_Int_Tables_number 123
_symmetry_space_group_name_Hall '-P 4 2'
_cell_length_a 4.354
_cell_length_b 4.354
_cell_length_c 4.749
_cell_angle_alpha 90.00
_cell_angle_beta 90.00
_cell_angle_gamma 90.00
loop_
_atom_site_label
_atom_site_type_symbol
_atom_site_fract_x
_atom_site_fract_y
_atom_site_fract_z
K1 K 0.000 0.000 0.000
Ni1 Ni 0.000 0.500 0.000
Rh1 Rh 0.000 0.000 0.500
C1 C 0.500 0.500 0.500
# formation enthalpy at 0 K: 3.34 eV per atom



Record 2
# KTa2NiC PBE relaxed
data_KTa2NiC
_chemical_formula_sum 'K1 Ta2 Ni1 C1'
_symmetry_space_group_name_H-M 'P 4/m m m'
_symmetry_Int_Tables_number 123
_symmetry_space_group_name_Hall '-P 4 2'
_cell_length_a 5.034
_cell_length_b 5.034
_cell_length_c 3.589
_cell_angle_alpha 90.00
_cell_angle_beta 90.00
_cell_angle_gamma 90.00
loop_
_atom_site_label
_atom_site_type_symbol
_atom_site_fract_x
_atom_site_fract_y
_atom_site_fract_z
K1 K 0.000 0.000 0.000
Ta1 Ta 0.000 0.500 0.500
Ni1 Ni 0.500 0.500 0.500
C1 C 0.500 0.500 0.000
# formation enthalpy at 0 K: 1.90 eV per atom



Record 3
# K2TlNiC PBE relaxed
data_K2TlNiC
_chemical_formula_sum 'K2 Tl1 Ni1 C1'
_symmetry_space_group_name_H-M 'P 4/m m m'
_symmetry_Int_Tables_number 123
_symmetry_space_group_name_Hall '-P 4 2'
_cell_length_a 6.312
_cell_length_b 6.312
_cell_length_c 3.603
_cell_angle_alpha 90.00
_cell_angle_beta 90.00
_cell_angle_gamma 90.00
loop_
_atom_site_label
_atom_site_type_symbol
_atom_site_fract_x
_atom_site_fract_y
_atom_site_fract_z
K1 K 0.000 0.500 0.000
Tl1 Tl 0.000 0.000 0.500
Ni1 Ni 0.500 0.500 0.000
C1 C 0.500 0.500 0.500
# formation enthalpy at 0 K: 0.57 eV per atom



Record 4
# K2NpCO6 PBE relaxed
data_K2NpCO6
_chemical_formula_sum 'K4 Np2 C2 O12'
_symmetry_space_group_name_H-M 'I 4/m m m'
_symmetry_Int_Tables_number 139
_symmetry_space_group_name_Hall '-I 4 2'
_cell_length_a 6.604
_cell_length_b 6.604
_cell_length_c 7.532
_cell_angle_alpha 90.00
_cell_angle_beta 90.00
_cell_angle_gamma 90.00
loop_
_atom_site_label
_atom_site_type_symbol
_atom_site_fract_x
_atom_site_fract_y
_atom_site_fract_z
K1 K 0.000 0.500 0.250
Np1 Np 0.000 0.000 0.000
C1 C 0.000 0.000 0.500
O1 O 0.000 0.000 0.344
O2 O 0.207 0.207 0.000
# ΔE_f (raw): -1972 meV/atom



Record 5
# KNpC2O6 PBE relaxed
data_KNpC2O6
_chemical_formula_sum 'K2 Np2 C4 O12'
_symmetry_space_group_name_H-M 'C 1 2/m 1'
_symmetry_Int_Tables_number 12
_cell_length_a 11.389
_cell_length_b 7.380
_cell_length_c 4.419
_cell_angle_alpha 90.00
_cell_angle_beta 109.27
_cell_angle_gamma 90.00
loop_
_symmetry_equiv_pos_as_xyz
'x,y,z'
'-x,-y,-z'
'-x,y,-z'
'x,-y,z'
'x+1/2,y+1/2,z'
'-x+1/2,-y+1/2,-z'
'-x+1/2,y+1/2,-z'
'x+1/2,-y+1/2,z'
loop_
_atom_site_label
_atom_site_type_symbol
_atom_site_fract_x
_atom_site_fract_y
_atom_site_fract_z
K1 K 0.000 0.000 0.000
Np1 Np 0.000 0.500 0.500
C1 C 0.227 0.500 0.312
O1 O 0.000 0.251 0.500
O2 O 0.122 0.500 0.093
O3 O 0.247 0.500 0.606
# ΔE_f (raw): -1576 meV/atom



Record 6
# KCO2 PBE relaxed
data_KCO2
_chemical_formula_sum 'K4 C4 O8'
_symmetry_space_group_name_H-M 'P n m a'
_symmetry_Int_Tables_number 62
_cell_length_a 6.137
_cell_length_b 3.186
_cell_length_c 12.035
_cell_angle_alpha 90.00
_cell_angle_beta 90.00
_cell_angle_gamma 90.00
loop_
_symmetry_equiv_pos_as_xyz
'x,y,z'
'-x,-y,-z'
'-x+1/2,-y,z+1/2'
'x+1/2,y,-z+1/2'
'x+1/2,-y+1/2,-z+1/2'
'-x+1/2,y+1/2,z+1/2'
'-x,y+1/2,-z'
'x,-y+1/2,z'
loop_
_atom_site_label
_atom_site_type_symbol
_atom_site_fract_x
_atom_site_fract_y
_atom_site_fract_z
K1 K 0.195 0.250 0.123
C1 C 0.186 0.750 0.386
O1 O 0.062 0.750 0.306
O2 O 0.247 0.750 0.929
# ΔE_f (raw): -744 meV/atom